No. 1
First-principles (PBE) data for NaThNi after structural relaxation, as listed in the Open Quantum Materials Database.

Properties
- SG = F-43m, No. 216
- polymorph energy (0 for the lowest one) (meV per atom) = 569

Unit cell a=4.767 b=4.767 c=4.767 alpha=60.00 beta=60.00 gamma=60.00
Sites, in units of the cell vectors:
Na (0.000, 0.000, 0.000)
Th (0.250, 0.250, 0.250)
Ni (0.500, 0.500, 0.500)

No. 2
First-principles (PBE) data for DyYSi2Pt4 after structural relaxation, as listed in the Open Quantum Materials Database.

Properties
- SG = Amm2, No. 38
- raw total energy (eV/atom) = -6.927

Unit cell a=7.095 b=5.458 c=5.458 alpha=41.70 beta=90.00 gamma=90.00
Sites, in units of the cell vectors:
Dy (0.000, 0.000, 0.000)
Y (0.500, 0.896, 0.896)
Si (0.000, 0.717, 0.717)
Si (0.500, 0.178, 0.178)
Pt (0.199, 0.304, 0.304)
Pt (0.300, 0.591, 0.591)
Pt (0.700, 0.591, 0.591)
Pt (0.801, 0.304, 0.304)

No. 3
First-principles (PBE) data for PrEr2Mg3Pt2Au after structural relaxation, as listed in the Open Quantum Materials Database.

Properties
- SG = Amm2, No. 38
- raw total energy (eV/atom) = -4.618

Unit cell a=4.057 b=7.518 c=7.518 alpha=120.57 beta=90.00 gamma=90.00
Sites, in units of the cell vectors:
Pr (0.000, 0.000, 0.000)
Er (0.000, 0.419, 0.834)
Er (0.000, 0.834, 0.419)
Mg (0.500, 0.169, 0.422)
Mg (0.500, 0.422, 0.169)
Mg (0.500, 0.666, 0.666)
Pt (0.500, 0.087, 0.741)
Pt (0.500, 0.741, 0.087)
Au (0.000, 0.425, 0.425)

No. 4
First-principles (PBE) data for ScZn after structural relaxation, as listed in the Open Quantum Materials Database.

Properties
- SG = Pbcm, No. 57
- ΔH_f (0 K) (eV/atom) = -0.163

Unit cell a=5.947 b=5.264 c=4.927 alpha=90.00 beta=90.00 gamma=90.00
Sites, in units of the cell vectors:
Sc (0.154, 0.053, 0.250)
Sc (0.154, 0.447, 0.750)
Sc (0.846, 0.553, 0.250)
Sc (0.846, 0.947, 0.750)
Zn (0.361, 0.570, 0.250)
Zn (0.361, 0.930, 0.750)
Zn (0.639, 0.070, 0.250)
Zn (0.639, 0.430, 0.750)

No. 5
First-principles (PBE) data for LuTlFePd after structural relaxation, as listed in the Open Quantum Materials Database.

Properties
- SG = F-43m, No. 216
- polymorph energy (0 for the lowest one) (meV per atom) = 0

Unit cell a=4.660 b=4.660 c=4.660 alpha=60.00 beta=60.00 gamma=60.00
Sites, in units of the cell vectors:
Lu (0.000, 0.000, 0.000)
Tl (0.500, 0.500, 0.500)
Fe (0.750, 0.750, 0.750)
Pd (0.250, 0.250, 0.250)

No. 6
First-principles (PBE) data for Dy2Ag2C3 after structural relaxation, as listed in the Open Quantum Materials Database.

Properties
- SG = C2/m, No. 12
- raw total energy (eV/atom) = -5.485

Unit cell a=5.996 b=5.996 c=5.779 alpha=110.39 beta=110.39 gamma=34.68
Sites, in units of the cell vectors:
Dy (0.118, 0.118, 0.295)
Dy (0.882, 0.882, 0.705)
Ag (0.357, 0.357, 0.169)
Ag (0.643, 0.643, 0.831)
C (0.238, 0.238, 0.732)
C (0.500, 0.500, 0.000)
C (0.762, 0.762, 0.268)